Computed, not measured: a geometry-optimized Mn2AsO6 structure at the PBE with a Hubbard U level of DFT.

Structure (POSCAR):
```
Mn2AsO6
1.0
8.363 0.000 0.000
-4.181 7.242 0.000
0.000 0.000 4.525
Mn As O
6 3 18
Direct
0.000 0.312 0.000 Mn
0.000 0.644 0.500 Mn
0.312 0.000 0.000 Mn
0.356 0.356 0.500 Mn
0.644 0.000 0.500 Mn
0.688 0.688 0.000 Mn
0.000 0.000 0.500 As
0.333 0.667 0.013 As
0.667 0.333 0.987 As
0.096 0.882 0.274 O
0.118 0.214 0.274 O
0.120 0.538 0.242 O
0.214 0.118 0.726 O
0.226 0.454 0.791 O
0.228 0.774 0.791 O
0.418 0.880 0.242 O
0.454 0.226 0.209 O
0.462 0.582 0.242 O
0.538 0.120 0.758 O
0.546 0.772 0.791 O
0.582 0.462 0.758 O
0.772 0.546 0.209 O
0.774 0.228 0.209 O
0.786 0.904 0.274 O
0.880 0.418 0.758 O
0.882 0.096 0.726 O
0.904 0.786 0.726 O
```

polymorph energy (0 for the lowest one) = 0 meV per atom
DFT total energy = -6.813 eV per atom